A plane-wave DFT calculation with PBE with a Hubbard U was carried out for crystalline TiMoI2O at its relaxed geometry.

Calculated values
* electronic total energy: -22.8 eV per cell
* total magnetization: 3.95 μB per formula unit
* V: 126.5 Å³/cell
* energy above the most stable polymorph in this dataset: 0.665 eV/atom
* symmetry: P4/mmm, No. 123

Geometry as POSCAR:
```
TiMoI2O
1.0
5.7405 0.0000 0.0000
0.0000 5.7405 0.0000
0.0000 0.0000 3.8376
Ti Mo I O
1 1 2 1
direct
0.0000 0.0000 0.0000
0.5000 0.5000 0.5000
0.0000 0.5000 0.5000
0.5000 0.0000 0.5000
0.5000 0.5000 0.0000
```